The following is a DFT calculation (GGA-PBE) of NaPaAsO after structural relaxation.

Unit cell a=4.429 b=4.429 c=8.551 alpha=90.00 beta=90.00 gamma=90.14
Site moments in Bohr magnetons follow the coordinates.
Element x y z (fractional)
As 0.750 0.250 0.221  0.01
As 0.250 0.750 0.779  0.01
Pa 0.250 0.250 0.000  0.37
Pa 0.750 0.750 0.000  0.37
O 0.250 0.250 0.500  -0.12
O 0.750 0.750 0.500  -0.12
Na 0.750 0.250 0.585  0.00
Na 0.250 0.750 0.415  0.00

* calculated volume: 21.0 A^3/atom
* offset from the most stable computed form: 151.07 kJ per mole of atoms
* M_tot: 0.67 Bohr magnetons per cell
* space-group type: Cmme, No. 67

The following is a DFT calculation (GGA-PBE) of Ta4GaAuC2 after structural relaxation.

Unit cell a=3.147 b=3.147 c=13.726 alpha=90.00 beta=90.00 gamma=120.00
Element x y z (fractional)
C 0.333 0.667 0.252
C 0.333 0.667 0.748
Au 0.000 0.000 0.000
Ta 0.000 0.000 0.659
Ta 0.667 0.333 0.835
Ta 0.667 0.333 0.165
Ta 0.000 0.000 0.341
Ga 0.667 0.333 0.500

* calculated volume: 14.7 A^3/atom
* uncorrected energy: -9.506 eV per atom
* M_tot: 0.00 Bohr magnetons per cell
* space-group type: P-6m2, No. 187

The following is a DFT calculation (GGA-PBE) of PrNdHg after structural relaxation.

Unit cell a=7.272 b=5.272 c=9.662 alpha=90.00 beta=90.00 gamma=90.00
Element x y z (fractional)
Hg 0.736 0.750 0.602
Hg 0.264 0.250 0.398
Hg 0.236 0.750 0.898
Hg 0.764 0.250 0.102
Pr 0.486 0.250 0.693
Pr 0.014 0.750 0.193
Pr 0.514 0.750 0.307
Pr 0.986 0.250 0.807
Nd 0.170 0.750 0.577
Nd 0.330 0.250 0.077
Nd 0.670 0.750 0.923
Nd 0.830 0.250 0.423

* calculated volume: 30.9 A^3/atom
* offset from the most stable computed form: 0.00 kJ per mole of atoms
* M_tot: 0.00 Bohr magnetons per cell
* space-group type: Pnma, No. 62